Density functional theory data (GGA+U) for an optimized crystal structure of LiVIrO6.

The density of states at the Fermi level comes out at 11.8 states/eV/cell. For the total energy, the calculation gives -6.558 eV per atom. As for the magnetic moment: 1.0 μB per formula unit.

The structure belongs to space group P-31c (No. 163); the cell edges are 5.0868, 5.0868 and 9.1574 Å and the angles 90.00°, 90.00° and 120.00°. The inequivalent atoms are Li at (0.0000, 0.0000, 0.0000), V at (0.3333, 0.6667, 0.2500), Ir at (0.3333, 0.6667, 0.7500) and O at (0.0063, 0.3657, 0.1378).